(1)
The following is a DFT calculation (PBE) of MnIn2HgI8 after structural relaxation.

Output
* space group: No. 12
* M_tot: 4.98 μB per formula unit
* raw formation energy: -0.40 eV per atom
* V: 46.760 A^3/atom

The structure in CIF format:
```
data_MnIn2HgI8
_space_group_name_H-M_alt 'P 1'
_space_group_IT_number 1
_cell_length_a 8.356
_cell_length_b 7.492
_cell_length_c 12.171
_cell_angle_alpha 63.42
_cell_angle_beta 69.92
_cell_angle_gamma 56.11
loop_
_space_group_symop_operation_xyz
'x,y,z'
loop_
_atom_site_label
_atom_site_fract_x
_atom_site_fract_y
_atom_site_fract_z
Mn1 0.000 0.000 0.000
In1 0.320 0.160 0.199
In2 0.680 0.840 0.801
Hg1 0.500 0.500 0.500
I1 0.833 0.747 0.587
I2 0.762 0.460 0.016
I3 0.167 0.253 0.413
I4 0.238 0.540 0.984
I5 0.726 0.875 0.198
I6 0.274 0.125 0.802
I7 0.201 0.875 0.198
I8 0.799 0.125 0.802
```

=====

(2)
The following is a DFT calculation (PBE) of NpSnPd6 after structural relaxation.

Output
* space group: No. 123
* energy relative to the elements: -0.459 eV/atom
* M_tot: 3.12 μB per formula unit
* Fermi-level density of states: 13.422 states/eV/f.u.
* V: 17.139 A^3/atom

The structure in CIF format:
```
data_NpSnPd6
_space_group_name_H-M_alt 'P 1'
_space_group_IT_number 1
_cell_length_a 4.102
_cell_length_b 4.102
_cell_length_c 8.148
_cell_angle_alpha 90.00
_cell_angle_beta 90.00
_cell_angle_gamma 90.00
loop_
_space_group_symop_operation_xyz
'x,y,z'
loop_
_atom_site_label
_atom_site_fract_x
_atom_site_fract_y
_atom_site_fract_z
Np1 0.000 0.000 0.500
Sn1 0.000 0.000 0.000
Pd1 0.500 0.500 0.000
Pd2 0.500 0.500 0.500
Pd3 0.500 0.000 0.247
Pd4 0.500 0.000 0.753
Pd5 0.000 0.500 0.247
Pd6 0.000 0.500 0.753
```

=====

(3)
The following is a DFT calculation (PBE) of KZrSb2 after structural relaxation.

Output
* space group: No. 99
* ΔE to the lowest computed polymorph: 238 meV/atom
* M_tot: 0.00 μB per formula unit
* Fermi-level density of states: 1.720 states/eV/f.u.
* raw formation energy: -0.26 eV per atom
* V: 35.794 A^3/atom

The structure in CIF format:
```
data_KZrSb2
_space_group_name_H-M_alt 'P 1'
_space_group_IT_number 1
_cell_length_a 3.887
_cell_length_b 3.887
_cell_length_c 9.474
_cell_angle_alpha 90.00
_cell_angle_beta 90.00
_cell_angle_gamma 90.00
loop_
_space_group_symop_operation_xyz
'x,y,z'
loop_
_atom_site_label
_atom_site_fract_x
_atom_site_fract_y
_atom_site_fract_z
K1 0.500 0.500 0.774
Sb1 0.000 0.000 0.013
Sb2 0.500 0.500 0.407
Zr1 0.000 0.000 0.307
```

=====

(4)
The following is a DFT calculation (PBE) of AsIF12 after structural relaxation.

Output
* space group: No. 205
* M_tot: 0.17 μB per formula unit
* raw formation energy: -1.65 eV per atom
* V: 15.793 A^3/atom

The structure in CIF format:
```
data_AsIF12
_space_group_name_H-M_alt 'P 1'
_space_group_IT_number 1
_cell_length_a 9.599
_cell_length_b 9.599
_cell_length_c 9.599
_cell_angle_alpha 90.00
_cell_angle_beta 90.00
_cell_angle_gamma 90.00
loop_
_space_group_symop_operation_xyz
'x,y,z'
loop_
_atom_site_label
_atom_site_fract_x
_atom_site_fract_y
_atom_site_fract_z
As1 0.000 0.500 0.000
As2 0.500 0.500 0.500
As3 0.000 0.000 0.500
As4 0.500 0.000 0.000
F1 0.861 0.062 0.885
F2 0.639 0.938 0.385
F3 0.139 0.562 0.615
F4 0.361 0.438 0.115
F5 0.885 0.861 0.062
F6 0.385 0.639 0.938
F7 0.615 0.139 0.562
F8 0.115 0.361 0.438
F9 0.062 0.885 0.861
F10 0.938 0.385 0.639
F11 0.562 0.615 0.139
F12 0.438 0.115 0.361
F13 0.139 0.938 0.115
F14 0.361 0.062 0.615
F15 0.861 0.438 0.385
F16 0.639 0.562 0.885
F17 0.115 0.139 0.938
F18 0.615 0.361 0.062
F19 0.385 0.861 0.438
F20 0.885 0.639 0.562
F21 0.938 0.115 0.139
F22 0.062 0.615 0.361
F23 0.438 0.385 0.861
F24 0.562 0.885 0.639
F25 0.859 0.560 0.104
F26 0.641 0.440 0.604
F27 0.141 0.060 0.396
F28 0.359 0.940 0.896
F29 0.104 0.859 0.560
F30 0.604 0.641 0.440
F31 0.396 0.141 0.060
F32 0.896 0.359 0.940
F33 0.560 0.104 0.859
F34 0.440 0.604 0.641
F35 0.060 0.396 0.141
F36 0.940 0.896 0.359
F37 0.141 0.440 0.896
F38 0.359 0.560 0.396
F39 0.859 0.940 0.604
F40 0.641 0.060 0.104
F41 0.896 0.141 0.440
F42 0.396 0.359 0.560
F43 0.604 0.859 0.940
F44 0.104 0.641 0.060
F45 0.440 0.896 0.141
F46 0.560 0.396 0.359
F47 0.940 0.604 0.859
F48 0.060 0.104 0.641
I1 0.000 0.000 0.000
I2 0.500 0.000 0.500
I3 0.000 0.500 0.500
I4 0.500 0.500 0.000
```

=====

(5)
The following is a DFT calculation (PBE) of Pr2EuSi after structural relaxation.

Output
* space group: No. 123
* ΔE to the lowest computed polymorph: 0 meV/atom
* M_tot: 7.40 μB per formula unit
* Fermi-level density of states: 3.945 states/eV/f.u.
* raw formation energy: -0.21 eV per atom
* V: 28.105 A^3/atom

The structure in CIF format:
```
data_Pr2EuSi
_space_group_name_H-M_alt 'P 1'
_space_group_IT_number 1
_cell_length_a 4.697
_cell_length_b 4.893
_cell_length_c 4.893
_cell_angle_alpha 90.00
_cell_angle_beta 90.00
_cell_angle_gamma 90.00
loop_
_space_group_symop_operation_xyz
'x,y,z'
loop_
_atom_site_label
_atom_site_fract_x
_atom_site_fract_y
_atom_site_fract_z
Eu1 0.500 0.000 0.000
Pr1 0.000 0.000 0.500
Pr2 0.000 0.500 0.000
Si1 0.500 0.500 0.500
```

=====

(6)
The following is a DFT calculation (PBE) of ZrGeCO2 after structural relaxation.

Output
* space group: No. 123
* M_tot: 0.00 μB per formula unit
* Fermi-level density of states: 3.090 states/eV/f.u.
* raw formation energy: 0.61 eV per atom
* V: 13.210 A^3/atom

The structure in CIF format:
```
data_ZrGeCO2
_space_group_name_H-M_alt 'P 1'
_space_group_IT_number 1
_cell_length_a 3.894
_cell_length_b 4.355
_cell_length_c 3.894
_cell_angle_alpha 90.00
_cell_angle_beta 90.00
_cell_angle_gamma 90.00
loop_
_space_group_symop_operation_xyz
'x,y,z'
loop_
_atom_site_label
_atom_site_fract_x
_atom_site_fract_y
_atom_site_fract_z
C1 0.000 0.000 0.000
Ge1 0.500 0.500 0.500
O1 0.000 0.000 0.500
O2 0.500 0.000 0.000
Zr1 0.000 0.500 0.000
```

=====

(7)
The following is a DFT calculation (PBE) of LiUPb after structural relaxation.

Output
* space group: No. 11
* energy relative to the elements: -0.013 eV/atom
* M_tot: 2.23 μB per formula unit
* Fermi-level density of states: 3.613 states/eV/f.u.
* V: 23.149 A^3/atom

The structure in CIF format:
```
data_LiUPb
_space_group_name_H-M_alt 'P 1'
_space_group_IT_number 1
_cell_length_a 4.763
_cell_length_b 6.386
_cell_length_c 9.594
_cell_angle_alpha 107.81
_cell_angle_beta 90.00
_cell_angle_gamma 90.00
loop_
_space_group_symop_operation_xyz
'x,y,z'
loop_
_atom_site_label
_atom_site_fract_x
_atom_site_fract_y
_atom_site_fract_z
Pb1 0.250 0.202 0.715
Pb2 0.750 0.298 0.285
Pb3 0.750 0.798 0.285
Pb4 0.250 0.702 0.715
U1 0.250 0.606 0.038
U2 0.250 0.106 0.038
U3 0.750 0.394 0.962
U4 0.750 0.894 0.962
Li1 0.250 0.079 0.397
Li2 0.250 0.579 0.397
Li3 0.750 0.921 0.603
Li4 0.750 0.421 0.603
```

=====

(8)
The following is a DFT calculation (PBE) of Ca5Si2C2O13 after structural relaxation.

Output
* space group: No. 14
* M_tot: 0.00 μB per formula unit
* Fermi-level density of states: 0.000 states/eV/f.u.
* raw formation energy: -2.69 eV per atom
* V: 13.287 A^3/atom

The structure in CIF format:
```
data_Ca5Si2C2O13
_space_group_name_H-M_alt 'P 1'
_space_group_IT_number 1
_cell_length_a 7.628
_cell_length_b 10.375
_cell_length_c 15.208
_cell_angle_alpha 90.00
_cell_angle_beta 103.72
_cell_angle_gamma 90.00
loop_
_space_group_symop_operation_xyz
'x,y,z'
loop_
_atom_site_label
_atom_site_fract_x
_atom_site_fract_y
_atom_site_fract_z
Ca1 0.081 0.411 0.126
Ca2 0.080 0.080 0.640
Ca3 0.580 0.420 0.140
Ca4 0.920 0.920 0.360
Ca5 0.919 0.589 0.874
Ca6 0.581 0.089 0.626
Ca7 0.420 0.580 0.860
Ca8 0.419 0.911 0.374
Ca9 0.428 0.210 0.819
Ca10 0.072 0.710 0.681
Ca11 0.572 0.790 0.181
Ca12 0.928 0.290 0.319
Ca13 0.913 0.212 0.824
Ca14 0.587 0.712 0.676
Ca15 0.087 0.788 0.176
Ca16 0.413 0.288 0.324
Ca17 0.746 0.995 0.996
Ca18 0.754 0.495 0.504
Ca19 0.254 0.005 0.004
Ca20 0.246 0.505 0.496
Si1 0.366 0.916 0.797
Si2 0.134 0.416 0.703
Si3 0.634 0.084 0.203
Si4 0.866 0.584 0.297
Si5 0.936 0.921 0.799
Si6 0.564 0.421 0.701
Si7 0.064 0.079 0.201
Si8 0.436 0.579 0.299
C1 0.691 0.689 0.031
C2 0.796 0.305 0.976
C3 0.704 0.805 0.524
C4 0.204 0.695 0.024
C5 0.296 0.195 0.476
C6 0.309 0.311 0.969
C7 0.191 0.811 0.531
C8 0.809 0.189 0.469
O1 0.140 0.916 0.774
O2 0.842 0.032 0.726
O3 0.342 0.468 0.226
O4 0.158 0.968 0.274
O5 0.451 0.970 0.898
O6 0.049 0.470 0.602
O7 0.549 0.030 0.102
O8 0.951 0.530 0.398
O9 0.956 0.976 0.901
O10 0.544 0.476 0.599
O11 0.044 0.024 0.099
O12 0.456 0.524 0.401
O13 0.405 0.767 0.772
O14 0.219 0.673 0.943
O15 0.595 0.233 0.228
O16 0.905 0.733 0.272
O17 0.861 0.775 0.774
O18 0.639 0.275 0.726
O19 0.139 0.225 0.226
O20 0.361 0.725 0.274
O21 0.599 0.974 0.276
O22 0.658 0.532 0.774
O23 0.901 0.474 0.224
O24 0.401 0.026 0.724
O25 0.099 0.526 0.776
O26 0.640 0.584 0.274
O27 0.860 0.084 0.226
O28 0.360 0.416 0.726
O29 0.727 0.292 0.429
O30 0.773 0.792 0.071
O31 0.273 0.708 0.571
O32 0.227 0.208 0.929
O33 0.216 0.294 0.430
O34 0.284 0.794 0.070
O35 0.784 0.706 0.570
O36 0.716 0.206 0.930
O37 0.905 0.122 0.426
O38 0.595 0.622 0.074
O39 0.095 0.878 0.574
O40 0.405 0.378 0.926
O41 0.400 0.124 0.440
O42 0.100 0.624 0.060
O43 0.600 0.876 0.560
O44 0.900 0.376 0.940
O45 0.199 0.840 0.450
O46 0.301 0.340 0.050
O47 0.801 0.160 0.550
O48 0.699 0.660 0.950
O49 0.719 0.827 0.443
O50 0.781 0.327 0.057
O51 0.281 0.173 0.557
O52 0.095 0.267 0.728
```